No. 1
# KBa5Tl3 | Alexandria | PBE | optimized geometry
data_KBa5Tl3
_cell_length_a 10.6389
_cell_length_b 10.6389
_cell_length_c 8.1535
_cell_angle_alpha 90.00
_cell_angle_beta 90.00
_cell_angle_gamma 120.00
_symmetry_space_group_name_H-M 'P 1'
_symmetry_Int_Tables_number 1
loop_
_symmetry_equiv_pos_as_xyz
'x,y,z'
loop_
_atom_site_label
_atom_site_type_symbol
_atom_site_fract_x
_atom_site_fract_y
_atom_site_fract_z
K1 K 0.0000 0.0000 0.0000
K2 K 0.0000 0.0000 0.5000
Ba1 Ba 0.0000 0.3208 0.2500
Ba2 Ba 0.0000 0.6792 0.7500
Ba3 Ba 0.3208 0.0000 0.2500
Ba4 Ba 0.3208 0.3208 0.7500
Ba5 Ba 0.3333 0.6667 0.0000
Ba6 Ba 0.3333 0.6667 0.5000
Ba7 Ba 0.6667 0.3333 0.0000
Ba8 Ba 0.6667 0.3333 0.5000
Ba9 Ba 0.6792 0.0000 0.7500
Ba10 Ba 0.6792 0.6792 0.2500
Tl1 Tl 0.0000 0.3492 0.7500
Tl2 Tl 0.0000 0.6508 0.2500
Tl3 Tl 0.3492 0.0000 0.7500
Tl4 Tl 0.3492 0.3492 0.2500
Tl5 Tl 0.6508 0.0000 0.2500
Tl6 Tl 0.6508 0.6508 0.7500
# Space-group type   P6_3/mcm (193)
# Raw total energy   -0.1612 Ry/atom

No. 2
# DyTe2P2Pd7 | Alexandria | PBE | optimized geometry
data_DyTe2P2Pd7
_cell_length_a 4.0072
_cell_length_b 4.0072
_cell_length_c 14.7851
_cell_angle_alpha 97.75
_cell_angle_beta 97.75
_cell_angle_gamma 90.00
_symmetry_space_group_name_H-M 'P 1'
_symmetry_Int_Tables_number 1
loop_
_symmetry_equiv_pos_as_xyz
'x,y,z'
loop_
_atom_site_label
_atom_site_type_symbol
_atom_site_fract_x
_atom_site_fract_y
_atom_site_fract_z
Dy1 Dy 0.0000 0.0000 0.0000
Te1 Te 0.2077 0.2077 0.4166
Te2 Te 0.7923 0.7923 0.5834
P1 P 0.3816 0.3816 0.7623
P2 P 0.6184 0.6184 0.2377
Pd1 Pd 0.0750 0.5751 0.1505
Pd2 Pd 0.3027 0.3027 0.6034
Pd3 Pd 0.4249 0.9250 0.8495
Pd4 Pd 0.5000 0.5000 0.0000
Pd5 Pd 0.5751 0.0750 0.1505
Pd6 Pd 0.6973 0.6973 0.3966
Pd7 Pd 0.9250 0.4249 0.8495
# ΔE_f (raw)   -0.552 eV per atom
# Space-group type   C2/m (12)
# Raw total energy   -0.3962 Ry/atom

No. 3
# TlSiGe2 | Alexandria | PBE | optimized geometry
data_TlSiGe2
_cell_length_a 4.9306
_cell_length_b 4.9306
_cell_length_c 4.9306
_cell_angle_alpha 60.00
_cell_angle_beta 60.00
_cell_angle_gamma 60.00
_symmetry_space_group_name_H-M 'P 1'
_symmetry_Int_Tables_number 1
loop_
_symmetry_equiv_pos_as_xyz
'x,y,z'
loop_
_atom_site_label
_atom_site_type_symbol
_atom_site_fract_x
_atom_site_fract_y
_atom_site_fract_z
Tl1 Tl 0.0000 0.0000 0.0000
Si1 Si 0.5000 0.5000 0.5000
Ge1 Ge 0.2500 0.2500 0.2500
Ge2 Ge 0.7500 0.7500 0.7500
# ΔE_f (raw)   0.528 eV per atom
# Space-group type   Fm-3m (225)
# Energy relative to the lowest polymorph listed for this composition   27.3 kJ/mol of atoms
# Raw total energy   -0.2740 Ry/atom

No. 4
# HfScCuS4 | Alexandria | PBE | optimized geometry
data_HfScCuS4
_cell_length_a 7.3765
_cell_length_b 7.3765
_cell_length_c 7.3765
_cell_angle_alpha 120.15
_cell_angle_beta 119.98
_cell_angle_gamma 89.89
_symmetry_space_group_name_H-M 'P 1'
_symmetry_Int_Tables_number 1
loop_
_symmetry_equiv_pos_as_xyz
'x,y,z'
loop_
_atom_site_label
_atom_site_type_symbol
_atom_site_fract_x
_atom_site_fract_y
_atom_site_fract_z
Hf1 Hf 0.5000 0.0000 0.0000
Hf2 Hf 0.5000 0.5000 0.5000
Sc1 Sc 0.0000 0.0000 0.0000
Sc2 Sc 0.5000 0.0000 0.5000
Cu1 Cu 0.1294 0.3794 0.7500
Cu2 Cu 0.8706 0.6206 0.2500
S1 S 0.2573 0.2492 0.0081
S2 S 0.2569 0.2509 0.4940
S3 S 0.2569 0.7628 0.0060
S4 S 0.2589 0.7508 0.5081
S5 S 0.7411 0.2492 0.4919
S6 S 0.7431 0.2372 0.9940
S7 S 0.7431 0.7491 0.5060
S8 S 0.7427 0.7508 0.9919
# ΔE_f (raw)   -1.434 eV per atom
# Space-group type   Imma (74)
# Raw total energy   -0.4928 Ry/atom

No. 5
# Ta4ReW2 | Alexandria | PBE | optimized geometry
data_Ta4ReW2
_cell_length_a 5.5224
_cell_length_b 5.5224
_cell_length_c 5.5224
_cell_angle_alpha 109.50
_cell_angle_beta 109.50
_cell_angle_gamma 109.41
_symmetry_space_group_name_H-M 'P 1'
_symmetry_Int_Tables_number 1
loop_
_symmetry_equiv_pos_as_xyz
'x,y,z'
loop_
_atom_site_label
_atom_site_type_symbol
_atom_site_fract_x
_atom_site_fract_y
_atom_site_fract_z
Ta1 Ta 0.0000 0.0000 0.5000
Ta2 Ta 0.0000 0.5000 0.0000
Ta3 Ta 0.5000 0.0000 0.0000
Ta4 Ta 0.5000 0.5000 0.5000
Re1 Re 0.0000 0.0000 0.0000
W1 W 0.0000 0.5000 0.5000
W2 W 0.5000 0.0000 0.5000
# Space-group type   I4/mmm (139)
# Energy relative to the lowest polymorph listed for this composition   0.0 kJ/mol of atoms
# Raw total energy   -0.8887 Ry/atom

No. 6
# SrCdBr2 | Alexandria | PBE | optimized geometry
data_SrCdBr2
_cell_length_a 9.5612
_cell_length_b 9.5612
_cell_length_c 9.5612
_cell_angle_alpha 27.47
_cell_angle_beta 27.47
_cell_angle_gamma 27.47
_symmetry_space_group_name_H-M 'P 1'
_symmetry_Int_Tables_number 1
loop_
_symmetry_equiv_pos_as_xyz
'x,y,z'
loop_
_atom_site_label
_atom_site_type_symbol
_atom_site_fract_x
_atom_site_fract_y
_atom_site_fract_z
Sr1 Sr 0.0000 0.0000 0.0000
Cd1 Cd 0.5000 0.5000 0.5000
Br1 Br 0.1085 0.1085 0.1085
Br2 Br 0.8915 0.8915 0.8915
# ΔE_f (raw)   -0.681 eV per atom
# Space-group type   R-3m (166)
# Energy relative to the lowest polymorph listed for this composition   71.0 kJ/mol of atoms
# Raw total energy   -0.1592 Ry/atom

No. 7
# PaAs3 | Alexandria | PBE | optimized geometry
data_PaAs3
_cell_length_a 4.3083
_cell_length_b 4.3083
_cell_length_c 4.3083
_cell_angle_alpha 90.00
_cell_angle_beta 90.00
_cell_angle_gamma 90.00
_symmetry_space_group_name_H-M 'P 1'
_symmetry_Int_Tables_number 1
loop_
_symmetry_equiv_pos_as_xyz
'x,y,z'
loop_
_atom_site_label
_atom_site_type_symbol
_atom_site_fract_x
_atom_site_fract_y
_atom_site_fract_z
Pa1 Pa 0.0000 0.0000 0.0000
As1 As 0.0000 0.5000 0.5000
As2 As 0.5000 0.0000 0.5000
As3 As 0.5000 0.5000 0.0000
# Space-group type   Pm-3m (221)
# Raw total energy   -0.4731 Ry/atom

No. 8
# MgAuBr3 | Alexandria | PBE | optimized geometry
data_MgAuBr3
_cell_length_a 5.2214
_cell_length_b 5.2214
_cell_length_c 5.2214
_cell_angle_alpha 90.00
_cell_angle_beta 90.00
_cell_angle_gamma 90.00
_symmetry_space_group_name_H-M 'P 1'
_symmetry_Int_Tables_number 1
loop_
_symmetry_equiv_pos_as_xyz
'x,y,z'
loop_
_atom_site_label
_atom_site_type_symbol
_atom_site_fract_x
_atom_site_fract_y
_atom_site_fract_z
Mg1 Mg 0.0000 0.0000 0.0000
Au1 Au 0.5000 0.5000 0.5000
Br1 Br 0.0000 0.0000 0.5000
Br2 Br 0.0000 0.5000 0.0000
Br3 Br 0.5000 0.0000 0.0000
# ΔE_f (raw)   -0.395 eV per atom
# Space-group type   Pm-3m (221)
# Energy relative to the lowest polymorph listed for this composition   0.0 kJ/mol of atoms
# Raw total energy   -0.1744 Ry/atom

No. 9
# Zr3Cd2Hg3 | Alexandria | PBE | optimized geometry
data_Zr3Cd2Hg3
_cell_length_a 4.4074
_cell_length_b 4.5403
_cell_length_c 8.6765
_cell_angle_alpha 90.00
_cell_angle_beta 90.00
_cell_angle_gamma 90.00
_symmetry_space_group_name_H-M 'P 1'
_symmetry_Int_Tables_number 1
loop_
_symmetry_equiv_pos_as_xyz
'x,y,z'
loop_
_atom_site_label
_atom_site_type_symbol
_atom_site_fract_x
_atom_site_fract_y
_atom_site_fract_z
Zr1 Zr 0.0000 0.0000 0.0000
Zr2 Zr 0.0000 0.0000 0.5000
Zr3 Zr 0.5000 0.5000 0.0000
Cd1 Cd 0.0000 0.5000 0.2521
Cd2 Cd 0.0000 0.5000 0.7479
Hg1 Hg 0.5000 0.0000 0.2469
Hg2 Hg 0.5000 0.0000 0.7531
Hg3 Hg 0.5000 0.5000 0.5000
# Space-group type   Pmmm (47)
# Energy relative to the lowest polymorph listed for this composition   3.1 kJ/mol of atoms
# Raw total energy   -0.2663 Ry/atom

No. 10
# MgScMo2 | Alexandria | PBE | optimized geometry
data_MgScMo2
_cell_length_a 2.7586
_cell_length_b 2.7586
_cell_length_c 9.4374
_cell_angle_alpha 90.00
_cell_angle_beta 90.00
_cell_angle_gamma 99.79
_symmetry_space_group_name_H-M 'P 1'
_symmetry_Int_Tables_number 1
loop_
_symmetry_equiv_pos_as_xyz
'x,y,z'
loop_
_atom_site_label
_atom_site_type_symbol
_atom_site_fract_x
_atom_site_fract_y
_atom_site_fract_z
Mg1 Mg 0.0000 0.0000 0.0000
Sc1 Sc 0.0000 0.0000 0.5000
Mo1 Mo 0.5000 0.5000 0.2479
Mo2 Mo 0.5000 0.5000 0.7521
# Space-group type   Cmmm (65)
# Raw total energy   -0.5246 Ry/atom

No. 11
# Ac2PuAu7 | Alexandria | PBE | optimized geometry
data_Ac2PuAu7
_cell_length_a 7.5213
_cell_length_b 7.5213
_cell_length_c 7.5213
_cell_angle_alpha 60.00
_cell_angle_beta 60.00
_cell_angle_gamma 60.00
_symmetry_space_group_name_H-M 'P 1'
_symmetry_Int_Tables_number 1
loop_
_symmetry_equiv_pos_as_xyz
'x,y,z'
loop_
_atom_site_label
_atom_site_type_symbol
_atom_site_fract_x
_atom_site_fract_y
_atom_site_fract_z
Ac1 Ac 0.2500 0.2500 0.2500
Ac2 Ac 0.7500 0.7500 0.7500
Pu1 Pu 0.0000 0.0000 0.0000
Au1 Au 0.2550 0.2550 0.7450
Au2 Au 0.2550 0.7450 0.2550
Au3 Au 0.2550 0.7450 0.7450
Au4 Au 0.5000 0.5000 0.5000
Au5 Au 0.7450 0.2550 0.2550
Au6 Au 0.7450 0.2550 0.7450
Au7 Au 0.7450 0.7450 0.2550
# Space-group type   Fm-3m (225)
# Raw total energy   -0.3402 Ry/atom

No. 12
# TbErRu4 | Alexandria | PBE | optimized geometry
data_TbErRu4
_cell_length_a 5.3288
_cell_length_b 5.3288
_cell_length_c 5.3288
_cell_angle_alpha 60.00
_cell_angle_beta 60.00
_cell_angle_gamma 60.00
_symmetry_space_group_name_H-M 'P 1'
_symmetry_Int_Tables_number 1
loop_
_symmetry_equiv_pos_as_xyz
'x,y,z'
loop_
_atom_site_label
_atom_site_type_symbol
_atom_site_fract_x
_atom_site_fract_y
_atom_site_fract_z
Tb1 Tb 0.0000 0.0000 0.0000
Er1 Er 0.2500 0.2500 0.2500
Ru1 Ru 0.1253 0.6249 0.6249
Ru2 Ru 0.6249 0.1253 0.6249
Ru3 Ru 0.6249 0.6249 0.1253
Ru4 Ru 0.6249 0.6249 0.6249
# Space-group type   F-43m (216)
# Raw total energy   -0.5898 Ry/atom

Q: Among the records above, which one has the highest raw total energy?
A: SrCdBr2